1.
Below is an optimized crystal structure of ScCo2Bi2, with properties calculated at the GGA-PBE level.

a = 4.909 Å, b = 4.909 Å, c = 8.554 Å
α = 90.00°, β = 90.00°, γ = 90.00°
Space group I4/mmm (No. 139)
Unique sites:
Sc (0.000, 0.000, 0.000) (multiplicity 2)
Co (0.000, 0.000, 0.370) (multiplicity 4)
Bi (0.000, 0.500, 0.250) (multiplicity 4)

Output
Electronic total energy ... -54.647 eV for the cell shown
Energy relative to the elements ... 0.196 eV/atom
Calculated volume ... 206.2 Å³ per cell



2.
Below is an optimized crystal structure of TbPm2Mg5, with properties calculated at the GGA-PBE level.

a = 5.264 Å, b = 5.264 Å, c = 15.562 Å
α = 90.00°, β = 90.00°, γ = 90.00°
Space group I4/mmm (No. 139)
Unique sites:
Tb (0.000, 0.000, 0.000) (multiplicity 2)
Pm (0.000, 0.000, 0.259) (multiplicity 4)
Mg (0.000, 0.000, 0.500) (multiplicity 2)
Mg (0.000, 0.500, 0.116) (multiplicity 8)

Output
Electronic total energy ... -45.500 eV for the cell shown
Energy relative to the elements ... -0.081 eV/atom
Calculated volume ... 431.2 Å³ per cell



3.
Below is an optimized crystal structure of ErSi2Pt4Rh, with properties calculated at the GGA-PBE level.

a = 3.919 Å, b = 3.919 Å, c = 9.272 Å
α = 90.00°, β = 90.00°, γ = 90.00°
Space group P4/mmm (No. 123)
Unique sites:
Er (0.000, 0.000, 0.000) (multiplicity 1)
Si (0.500, 0.500, 0.378) (multiplicity 2)
Pt (0.000, 0.500, 0.236) (multiplicity 4)
Rh (0.000, 0.000, 0.500) (multiplicity 1)

Output
Electronic total energy ... -52.044 eV for the cell shown
Energy relative to the elements, uncorrected ... -0.640 eV/atom
Calculated volume ... 142.4 Å³ per cell



4.
Below is an optimized crystal structure of Cr2Ni2Au, with properties calculated at the GGA-PBE level.

a = 7.012 Å, b = 7.012 Å, c = 2.634 Å
α = 90.00°, β = 90.00°, γ = 90.00°
Space group P4/mbm (No. 127)
Unique sites:
Cr (0.105, 0.395, 0.000) (multiplicity 4)
Ni (0.182, 0.682, 0.500) (multiplicity 4)
Au (0.000, 0.000, 0.000) (multiplicity 2)

Output
Electronic total energy ... -65.487 eV for the cell shown
Energy relative to the elements ... 0.269 eV/atom
Calculated volume ... 129.5 Å³ per cell